A plane-wave DFT calculation with PBE was carried out for a geometry-optimized Rb2UBiSe4 structure.

```
data_Rb2UBiSe4
_space_group_name_H-M_alt 'I -4'
_space_group_IT_number 82
_cell_length_a 8.318
_cell_length_b 8.318
_cell_length_c 9.101
_cell_angle_alpha 90.00
_cell_angle_beta 90.00
_cell_angle_gamma 90.00
loop_
_space_group_symop_operation_xyz
'x,y,z'
'y,-x,-z'
'-x,-y,z'
'-y,x,-z'
'x+1/2,y+1/2,z+1/2'
'y+1/2,-x+1/2,-z+1/2'
'-x+1/2,-y+1/2,z+1/2'
'-y+1/2,x+1/2,-z+1/2'
loop_
_atom_site_label
_atom_site_fract_x
_atom_site_fract_y
_atom_site_fract_z
Rb1 0.000 0.000 0.000
Rb2 0.000 0.500 0.250
U1 0.000 0.000 0.500
Bi1 0.000 0.500 0.750
Se1 0.177 0.778 0.653
```

DOS(E_F): 9.08 states/eV/f.u.
Calculated volume: 39.36 Å³ per atom
ΔE_f (raw): -0.784 eV/atom